# ZrTl2Co, relaxed, DFT PBE
data_ZrTl2Co
_chemical_formula_sum 'Zr2 Tl4 Co2'
_cell_length_a 6.217
_cell_length_b 8.584
_cell_length_c 3.154
_cell_angle_alpha 90.00
_cell_angle_beta 90.30
_cell_angle_gamma 90.00
_symmetry_space_group_name_H-M 'C 1 2/m 1'
_symmetry_Int_Tables_number 12
loop_
_symmetry_equiv_pos_as_xyz
'x,y,z'
'-x,-y,-z'
'-x,y,-z'
'x,-y,z'
'x+1/2,y+1/2,z'
'-x+1/2,-y+1/2,-z'
'-x+1/2,y+1/2,-z'
'x+1/2,-y+1/2,z'
loop_
_atom_site_label
_atom_site_fract_x
_atom_site_fract_y
_atom_site_fract_z
Zr1 0.000 0.000 0.000
Tl1 0.250 0.250 0.500
Co1 0.000 0.500 0.000
# - Volume: 21.041 Å³/atom
# - Energy relative to the elements: 0.398 eV/atom
# - Uncorrected energy: -4.6986 eV per atom